Material: Na2V3F10
Method: DFT, GGA+U
State: optimized geometry

Geometry as POSCAR:
```
Na2V3F10
1.0
-4.078 1.899 -4.236
6.010 2.469 -4.679
-0.432 -9.671 0.586
Na V F
4 6 20
direct
0.728 0.415 0.457
0.272 0.585 0.543
0.612 0.625 0.225
0.388 0.375 0.775
0.925 0.526 0.850
0.075 0.474 0.150
0.816 0.978 0.631
0.184 0.022 0.369
0.746 0.000 0.000
0.254 0.000 0.000
0.647 0.959 0.771
0.124 0.959 0.771
0.353 0.041 0.229
0.876 0.041 0.229
0.623 0.527 0.700
0.077 0.527 0.700
0.377 0.473 0.300
0.923 0.473 0.300
0.980 0.815 0.960
0.020 0.185 0.040
0.872 0.246 0.744
0.128 0.754 0.256
0.754 0.724 0.508
0.246 0.276 0.492
0.483 0.823 0.965
0.517 0.177 0.035
0.761 0.500 0.000
0.239 0.500 0.000
0.500 0.000 0.500
0.000 0.000 0.500
```

Output
Total moment: 14.00 μB/cell
Calculated total energy: -5.6883 eV/atom